VASP calculation (PBE) on crystalline Sm2ThSn3 at its relaxed geometry.

Calculated volume   32.13 A^3/atom
Magnetic moment   0.0 μB per cell
ΔH_f (0 K)   -3.183 eV/f.u.

Cell lengths 4.5152, 6.3686, 13.4073 Å; angles 90.00, 90.00, 90.00 degrees
Last column: nearest neighbours and their distance in Å.
Space group Immm (No. 71)
Unique sites:
Sm1 0.0000 0.0000 0.1660 [4 per cell]  6 Sn 3.17-3.18
Th1 0.0000 0.0000 0.5000 [2 per cell]  6 Sn 3.18-3.19
Sn1 0.0000 0.5000 0.1683 [4 per cell]  4 Sm 3.17-3.18, 2 Th 3.19
Sn2 0.0000 0.5000 0.5000 [2 per cell]  4 Sm 3.17, 2 Th 3.18